The following is a PBE calculation of crystalline VCrAu at its relaxed geometry, from the Alexandria database.

Output
Fermi-level density of states: 0.95 states/eV/atom
Electronic total energy: -43.44 eV per cell
Total magnetic moment: 0.000 μB per cell
Energy above the lowest structure with this stoichiometry: 0.20 eV per formula unit

Geometry as POSCAR:
```
VCrAu
1.0
2.752 0.000 0.000
0.000 3.972 0.000
-1.362 0.000 7.978
V Cr Au
2 2 2
direct
0.000 0.000 0.000
0.449 0.000 0.284
0.171 0.500 0.423
0.750 0.500 0.161
0.400 0.500 0.820
0.793 0.000 0.615
```